Crystalline SrHfO3 at its relaxed geometry, computed with PBE.

Results
Calculated volume = 70 Å³/f.u.
DFT total energy = -8.4999 eV per atom

a b c (Å): 8.2642 11.9470 5.6865
angles (deg): 90.00 90.00 90.00
Closest atoms and distances in Å follow each position.
Space group Cmce (No. 64)
Symmetry-distinct sites (fractional):
Sr  0.2500  0.1528  0.2500 x8  3 O 2.43-2.68
Hf  0.0000  0.1189  0.6910 x8  5 O 2.03-2.18
O  0.0000  0.0506  0.3127 x8  1 Hf 2.03
O  0.0000  0.2386  0.9802 x8  2 Hf 2.08-2.18
O  0.2500  0.1226  0.7500 x8  2 Hf 2.09

Crystalline SrHfO3 at its relaxed geometry, computed with PBE.

Results
Calculated volume = 70 Å³/f.u.
DFT total energy = -8.6955 eV per atom

a b c (Å): 5.8255 8.1860 5.8354
angles (deg): 90.00 90.00 90.00
Closest atoms and distances in Å follow each position.
Space group Imma (No. 74)
Symmetry-distinct sites (fractional):
Sr  0.0000  0.2500  0.0085 x4  5 O 2.53-2.66
Hf  0.0000  0.0000  0.5000 x4  6 O 2.09
O  0.0000  0.2500  0.5746 x4  2 Hf 2.09
O  0.2500  0.0404  0.2500 x8  2 Hf 2.09

Crystalline SrHfO3 at its relaxed geometry, computed with PBE.

Results
Calculated volume = 75 Å³/f.u.
DFT total energy = -8.6326 eV per atom

a b c (Å): 5.6764 5.6764 16.2073
angles (deg): 90.00 90.00 120.00
Closest atoms and distances in Å follow each position.
Space group R-3 (No. 148, hexagonal axes)
Symmetry-distinct sites (fractional):
Sr  0.0000  0.0000  0.1336 x6  6 O 2.46-2.65
Hf  0.0000  0.0000  0.3450 x6  6 O 2.06-2.16
O  0.0149  0.6095  0.9269 x18  2 Hf 2.06-2.16